Density functional theory data (PBE) for an optimized crystal structure of Li5Mg3Sn4.

Its total energy is -32.859 eV per cell. The value obtained for the energy of formation is -240.7 kJ/mol of formula units.

The structure belongs to space group P-1 (No. 2); the cell edges are 5.7943, 5.9794 and 8.2087 Å and the angles 83.98°, 70.83° and 76.50°. The asymmetric unit holds Li at (0.0000, 0.0000, 0.0000), Li at (0.1429, 0.7274, 0.3620), Li at (0.2375, 0.5549, 0.0118), Mg at (0.4889, 0.7698, 0.6469), Mg at (0.5000, 0.0000, 0.0000), Sn at (0.0446, 0.2366, 0.2693) and Sn at (0.3010, 0.2912, 0.7325).


Density functional theory data (PBE) for an optimized crystal structure of DyNiSbPd.

The raw formation energy is -0.64 eV per atom. Its total energy is -89.105 eV per cell.

The structure belongs to space group F-43m (No. 216); the cell edges are 6.6589, 6.6589 and 6.6589 Å and the angles 90.00°, 90.00° and 90.00°. The asymmetric unit holds Dy at (0.0000, 0.0000, 0.0000), Ni at (0.2500, 0.2500, 0.7500), Sb at (0.0000, 0.0000, 0.5000) and Pd at (0.2500, 0.2500, 0.2500).


Density functional theory data (PBE) for an optimized crystal structure of LiLa2SnSe4.

The raw formation energy is -1.41 eV per atom. Its total energy is -163.801 eV per cell.

The structure belongs to space group Imma (No. 74); the cell edges are 8.4817, 8.6330 and 12.0480 Å and the angles 90.00°, 90.00° and 90.00°. The asymmetric unit holds Li at (0.0000, 0.0000, 0.0000), La at (0.0000, 0.0000, 0.5000), La at (0.2500, 0.2500, 0.2500), Sn at (0.2500, 0.2500, 0.7500), Se at (0.0000, 0.0015, 0.7557) and Se at (0.2439, 0.2500, 0.9996).


Density functional theory data (PBE) for an optimized crystal structure of NbRe2Ir.

Its total energy is -166.268 eV per cell. The value obtained for the energy of formation is 218.1 kJ/mol of formula units.

The structure belongs to space group I-42d (No. 122); the cell edges are 3.7587, 3.7587 and 19.5441 Å and the angles 90.00°, 90.00° and 90.00°. The asymmetric unit holds Nb at (0.0000, 0.0000, 0.0000), Re at (0.2099, 0.2500, 0.6250) and Ir at (0.0000, 0.0000, 0.5000).


Density functional theory data (PBE) for an optimized crystal structure of Zr4AlH.

Its total energy is -169.595 eV per cell.

The structure belongs to space group C2/c (No. 15); the cell edges are 7.2502, 13.8340 and 5.1870 Å and the angles 90.00°, 120.18° and 90.00°. The asymmetric unit holds Zr at (0.1392, 0.2137, 0.1224), Zr at (0.2237, 0.0662, 0.6122), Al at (0.0000, 0.4009, 0.7500) and H at (0.0000, 0.0179, 0.7500).


Density functional theory data (PBE) for an optimized crystal structure of TbPaTl.

Its total energy is -15.740 eV per cell. The value obtained for the energy of formation is 72.6 kJ/mol of formula units.

The structure belongs to space group P3m1 (No. 156); the cell edges are 5.4268, 5.4268 and 3.2763 Å and the angles 90.00°, 90.00° and 120.00°. The asymmetric unit holds Tb at (0.0000, 0.0000, 0.0000), Pa at (0.3333, 0.6667, 0.4503) and Tl at (0.6667, 0.3333, 0.7628).


Density functional theory data (PBE) for an optimized crystal structure of HgAu5.

Its total energy is -32.806 eV per cell. The value obtained for the energy of formation is 27.5 kJ/mol of formula units.

The structure belongs to space group Cm (No. 8); the cell edges are 10.9769, 3.0338 and 7.0682 Å and the angles 90.00°, 107.56° and 90.00°. The asymmetric unit holds Hg at (0.0000, 0.0000, 0.0000), Au at (0.1212, 0.5000, 0.7268), Au at (0.1700, 0.5000, 0.3380), Au at (0.2804, 0.0000, 0.0675), Au at (0.3366, 0.0000, 0.6643) and Au at (0.4511, 0.5000, 0.4001).


Density functional theory data (PBE) for an optimized crystal structure of Sm3TaTl3Se8.

The raw formation energy is -1.20 eV per atom. Its total energy is -236.940 eV per cell.

The structure belongs to space group R-3m (No. 166, hexagonal axes); the cell edges are 8.2283, 8.2283 and 23.7760 Å and the angles 90.00°, 90.00° and 120.00°. The asymmetric unit holds Sm at (0.0000, 0.5000, 0.0000), Ta at (0.0000, 0.0000, 0.0000), Tl at (0.0000, 0.5000, 0.5000), Se at (0.0000, 0.0000, 0.2626) and Se at (0.0308, 0.5154, 0.7324).


Density functional theory data (PBE) for an optimized crystal structure of TaAl2OsPd.

Its total energy is -26.749 eV per cell. The value obtained for the energy of formation is 869.4 kJ/mol of formula units.

The structure belongs to space group P4/mmm (No. 123); the cell edges are 4.8437, 4.8437 and 4.6460 Å and the angles 90.00°, 90.00° and 90.00°. The asymmetric unit holds Ta at (0.0000, 0.0000, 0.0000), Al at (0.0000, 0.5000, 0.0000), Os at (0.5000, 0.5000, 0.5000) and Pd at (0.0000, 0.0000, 0.5000).


Density functional theory data (PBE) for an optimized crystal structure of Mg2H5Ir2.

Its total energy is -39.610 eV per cell.

The structure belongs to space group P1 (No. 1); the cell edges are 3.0269, 3.5001 and 8.2334 Å and the angles 100.76°, 100.51° and 90.00°. The asymmetric unit holds Mg at (0.0000, 0.0000, 0.0000), Mg at (0.2300, 0.2268, 0.4554), H at (0.1160, 0.8287, 0.2306), H at (0.3894, 0.8680, 0.7781), H at (0.4986, 0.4727, 0.9953), H at (0.7152, 0.6887, 0.4280), H at (0.8549, 0.3332, 0.7071), Ir at (0.6035, 0.5820, 0.2055) and Ir at (0.8316, 0.8143, 0.6609).


Density functional theory data (PBE) for an optimized crystal structure of Nd5Ho2Tm.

Its total energy is -141.066 eV per cell. The value obtained for the energy of formation is 212.2 kJ/mol of formula units.

The structure belongs to space group C2/c (No. 15); the cell edges are 6.4268, 25.9092 and 6.5670 Å and the angles 90.00°, 95.45° and 90.00°. The asymmetric unit holds Nd at (0.0000, 0.1240, 0.2500), Nd at (0.1891, 0.3154, 0.9997), Nd at (0.2423, 0.4031, 0.3162), Ho at (0.0000, 0.0000, 0.0000), Ho at (0.2500, 0.2500, 0.5000) and Tm at (0.0000, 0.4556, 0.7500).


Density functional theory data (PBE) for an optimized crystal structure of AcPu2GeO8.

The raw formation energy is -2.57 eV per atom. Its total energy is -215.904 eV per cell.

The structure belongs to space group Cmmm (No. 65); the cell edges are 6.9496, 7.3208 and 6.9886 Å and the angles 90.00°, 90.00° and 90.00°. The asymmetric unit holds Ac at (0.0000, 0.0000, 0.0000), Pu at (0.0000, 0.5000, 0.2650), Ge at (0.0000, 0.0000, 0.5000), O at (0.0000, 0.3013, 0.5000), O at (0.0000, 0.3317, 0.0000) and O at (0.1877, 0.0000, 0.3023).